# 1
A plane-wave DFT calculation with PBE-GGA was carried out for a relaxed structure of Tl2Cd2Se.

Its relative energy among the computed polymorphs is 0 meV per atom.

It has space group P4/mbm (No. 127), with a = 7.528 Å, b = 7.528 Å, c = 4.986 Å, α = 90.00°, β = 90.00° and γ = 90.00°. Symmetry generates all atoms from Tl at (0.171, 0.329, 0.000), Cd at (0.135, 0.635, 0.500) and Se at (0.000, 0.000, 0.500).

***

# 2
A plane-wave DFT calculation with PBE-GGA was carried out for a relaxed structure of Mn2PtBr.

Its relative energy among the computed polymorphs is 21 meV per atom.

It has space group Pmmm (No. 47), with a = 3.188 Å, b = 3.354 Å, c = 7.262 Å, α = 90.00°, β = 90.00° and γ = 90.00°. Symmetry generates all atoms from Mn at (0.000, 0.000, 0.199), Pt at (0.500, 0.500, 0.000) and Br at (0.500, 0.000, 0.500).

***

# 3
A plane-wave DFT calculation with PBE-GGA was carried out for a relaxed structure of Ca4IrPt.

Its relative energy among the computed polymorphs is 1156 meV per atom. Its formation energy from the elements is 589 meV per atom.

It has space group F-43m (No. 216), with a = 8.285 Å, b = 8.285 Å, c = 8.285 Å, α = 90.00°, β = 90.00° and γ = 90.00°. Symmetry generates all atoms from Ca at (0.125, 0.125, 0.125), Ir at (0.250, 0.250, 0.750) and Pt at (0.000, 0.000, 0.500).

***

# 4
A plane-wave DFT calculation with PBE-GGA was carried out for a relaxed structure of Tb3Ho2Ru2.

Its formation energy from the elements is -326 meV per atom.

It has space group C2/m (No. 12), with a = 11.912 Å, b = 3.888 Å, c = 8.481 Å, α = 90.00°, β = 113.51° and γ = 90.00°. Symmetry generates all atoms from Tb at (0.000, 0.000, 0.000), Tb at (0.121, 0.000, 0.429), Ho at (0.166, 0.500, 0.813) and Ru at (0.180, 0.500, 0.222).

***

# 5
A plane-wave DFT calculation with PBE-GGA was carried out for a relaxed structure of Rb3Tl7Sn2.

Its formation energy from the elements is -20 meV per atom.

It has space group P-1 (No. 2), with a = 4.832 Å, b = 6.722 Å, c = 14.762 Å, α = 102.36°, β = 90.03° and γ = 90.03°. Symmetry generates all atoms from Rb at (0.000, 0.000, 0.000), Rb at (0.001, 0.336, 0.619), Tl at (0.001, 0.885, 0.730), Tl at (0.499, 0.349, 0.190), Tl at (0.500, 0.159, 0.416), Tl at (0.500, 0.500, 0.000) and Sn at (0.499, 0.846, 0.198).

***

# 6
A plane-wave DFT calculation with PBE-GGA was carried out for a relaxed structure of K2LiTeH.

The raw total energy is -2.72 eV/atom.

It has space group P4/mmm (No. 123), with a = 5.293 Å, b = 5.293 Å, c = 4.743 Å, α = 90.00°, β = 90.00° and γ = 90.00°. Symmetry generates all atoms from K at (0.000, 0.500, 0.000), Li at (0.000, 0.000, 0.500), Te at (0.500, 0.500, 0.500) and H at (0.000, 0.000, 0.000).